No. 1
Sr3Ni | Alexandria via LeMat-Bulk | SCAN | PBEsol geometry; SG = P4/mmm (123); D(E_F) = 3.42 states/eV/cell; ΔH_f (0 K) = 0.162 eV/atom
1.0
3.732 0.000 0.000
0.000 3.732 0.000
0.000 0.000 10.195
Ni Sr
1 3
direct
0.000 0.000 0.000
0.000 0.000 0.500
0.500 0.500 0.168
0.500 0.500 0.832

***

No. 2
ScCdN2F | Alexandria via LeMat-Bulk | SCAN | PBEsol geometry; SG = P4/mmm (123); raw formation energy = -583 meV per atom; D(E_F) = 2.40 states/eV/cell
1.0
-2.430 0.394 -3.110
-2.892 -2.209 1.980
-1.535 3.481 1.640
Cd F Sc N
1 1 1 2
direct
0.500 0.500 0.500
0.500 0.000 0.000
0.000 0.000 0.000
0.000 0.500 0.000
0.000 0.000 0.500

***

No. 3
NbCrO4 | Alexandria via LeMat-Bulk | SCAN | PBEsol geometry; SG = I4_1md (109); raw formation energy = -2672 meV per atom; D(E_F) = 0.00 states/eV/cell
1.0
-0.187 -3.372 4.390
-0.029 -2.571 -4.905
4.770 2.796 0.322
O Cr Nb
8 2 2
direct
0.951 0.256 0.694
0.048 0.752 0.296
0.506 0.312 0.806
0.506 0.701 0.194
0.456 0.752 0.704
0.002 0.206 0.204
0.562 0.256 0.306
0.002 0.798 0.796
0.748 0.748 0.000
0.998 0.498 0.500
0.485 0.985 0.500
0.235 0.235 0.000

***

No. 4
RbYSeN2 | Alexandria via LeMat-Bulk | SCAN | PBEsol geometry; SG = P4/mmm (123); raw formation energy = -82 meV per atom; D(E_F) = 1.45 states/eV/cell
1.0
-2.793 2.797 -2.501
-3.748 -1.931 2.026
0.212 3.800 4.013
N Rb Y Se
2 1 1 1
direct
0.500 0.000 0.000
0.000 0.500 0.000
0.500 0.500 0.500
0.000 0.000 0.000
0.000 0.000 0.500

***

No. 5
LiSc2Mn | Alexandria via LeMat-Bulk | SCAN | PBEsol geometry; SG = Pmm2 (25); D(E_F) = 3.02 states/eV/cell; ΔH_f (0 K) = 0.134 eV/atom
1.0
-0.859 -2.950 0.268
3.047 -1.114 -2.494
3.552 -0.615 4.613
Sc Mn Li
2 1 1
direct
0.000 0.000 0.954
0.500 0.500 0.265
0.500 0.500 0.773
0.000 0.000 0.508

***

No. 6
Cd2AsRh2 | Alexandria via LeMat-Bulk | SCAN | PBEsol geometry; SG = P4/mbm (127); D(E_F) = 3.93 states/eV/cell; ΔH_f (0 K) = -0.295 eV/atom
1.0
-3.843 -0.972 -1.795
2.928 -2.971 -4.660
-0.184 -5.324 3.278
As Rh Cd
2 4 4
direct
0.000 0.500 0.500
0.000 0.000 0.000
0.000 0.844 0.656
0.000 0.656 0.156
0.000 0.344 0.844
0.000 0.156 0.344
0.500 0.657 0.843
0.500 0.157 0.657
0.500 0.843 0.343
0.500 0.343 0.157